! Li4Co7O2F14 (GGA+U, relaxed); values from VASP
! uncorrected energy: -5.10 eV/atom
! relative energy among the computed polymorphs: 0.05 kcal/mol of atoms
! total magnetization: 20.9 Bohr magnetons per cell
&SYSTEM
  ibrav = 0, nat = 27, ntyp = 4
/
ATOMIC_SPECIES
Li 6.94 Li.upf
Co 58.93 Co.upf
O 16.00 O.upf
F 19.00 F.upf
CELL_PARAMETERS angstrom
5.084 0.000 0.000
-0.094 5.967 0.000
-0.210 -0.467 10.494
ATOMIC_POSITIONS crystal
Li 0.024 0.238 0.405
Li 0.460 0.269 0.919
Li 0.540 0.731 0.081
Li 0.976 0.762 0.595
Co 0.000 0.000 0.000
Co 0.014 0.269 0.740
Co 0.499 0.243 0.241
Co 0.500 0.000 0.500
Co 0.500 0.500 0.500
Co 0.501 0.757 0.759
Co 0.986 0.731 0.260
O 0.342 0.755 0.587
O 0.658 0.245 0.413
F 0.179 0.750 0.091
F 0.215 0.474 0.327
F 0.217 0.253 0.571
F 0.226 0.992 0.331
F 0.244 0.018 0.833
F 0.292 0.486 0.822
F 0.299 0.207 0.074
F 0.701 0.793 0.926
F 0.708 0.514 0.178
F 0.756 0.982 0.167
F 0.774 0.008 0.669
F 0.783 0.747 0.429
F 0.785 0.526 0.673
F 0.821 0.250 0.909